No. 1
Density functional theory data (PBE-GGA) for a relaxed structure of NaTcNF2.

## Properties
ΔE to the lowest computed polymorph	0.0	kJ per mole of atoms
spin magnetization	0.675	μB/f.u.

a b c (Å): 4.2525 4.2525 3.7852
angles (deg): 90.00 90.00 90.00
Space group P4/mmm (No. 123)
Symmetry-distinct sites (fractional):
Na 0.0000 0.0000 0.0000 x1
Tc 0.5000 0.5000 0.5000 x1
N 0.5000 0.5000 0.0000 x1
F 0.0000 0.5000 0.5000 x2

***

No. 2
Density functional theory data (PBE-GGA) for a relaxed structure of NaTe2NF.

## Properties
ΔE to the lowest computed polymorph	0.0	kJ per mole of atoms
spin magnetization	0.000	μB/f.u.

a b c (Å): 4.7906 4.7906 4.5790
angles (deg): 90.00 90.00 90.00
Space group P4/mmm (No. 123)
Symmetry-distinct sites (fractional):
Na 0.0000 0.0000 0.0000 x1
Te 0.0000 0.5000 0.5000 x2
N 0.5000 0.5000 0.0000 x1
F 0.5000 0.5000 0.5000 x1

***

No. 3
Density functional theory data (PBE-GGA) for a relaxed structure of NaTeNF2.

## Properties
ΔE to the lowest computed polymorph	0.0	kJ per mole of atoms
spin magnetization	0.000	μB/f.u.

a b c (Å): 4.6744 4.6744 4.0814
angles (deg): 90.00 90.00 90.00
Space group P4/mmm (No. 123)
Symmetry-distinct sites (fractional):
Na 0.0000 0.0000 0.0000 x1
Te 0.5000 0.5000 0.5000 x1
N 0.5000 0.5000 0.0000 x1
F 0.0000 0.5000 0.5000 x2

***

No. 4
Density functional theory data (PBE-GGA) for a relaxed structure of NaTeN2F.

## Properties
ΔE to the lowest computed polymorph	121.4	kJ per mole of atoms
spin magnetization	5.425	μB/f.u.

a b c (Å): 5.0321 5.0321 4.3079
angles (deg): 90.00 90.00 90.00
Space group P4/mmm (No. 123)
Symmetry-distinct sites (fractional):
Na 0.0000 0.0000 0.0000 x1
Te 0.5000 0.5000 0.0000 x1
N 0.0000 0.5000 0.5000 x2
F 0.5000 0.5000 0.5000 x1

***

no.,VASP energy (eV/atom)
1,-5.914
2,-2.878
3,-4.175
4,-3.188